# 1
{"formula": "Sr2ScAs", "functional": "meta-GGA SCAN", "state": "single point on PBEsol structure", "cell": [[3.729, 0.000, 0.000], [0.000, 3.729, 0.000], [0.000, 0.000, 9.120]], "species": ["Sr", "Sr", "Sc", "As"], "frac_coords": [[0.000, 0.000, 0.000], [0.500, 0.500, 0.367], [0.500, 0.500, 0.712], [0.000, 0.000, 0.624]], "space_group": "P4mm, No. 99", "formation_enthalpy_0k_mev_per_atom": -554}

# 2
{"formula": "CeTlAg2", "functional": "meta-GGA SCAN", "state": "single point on PBEsol structure", "cell": [[7.023, 0.000, 0.000], [0.000, 7.023, 0.000], [0.000, 0.000, 7.023]], "species": ["Ce", "Ce", "Ce", "Ce", "Tl", "Tl", "Tl", "Tl", "Ag", "Ag", "Ag", "Ag", "Ag", "Ag", "Ag", "Ag"], "frac_coords": [[0.000, 0.000, 0.000], [0.000, 0.500, 0.500], [0.500, 0.000, 0.500], [0.500, 0.500, 0.000], [0.000, 0.000, 0.500], [0.000, 0.500, 0.000], [0.500, 0.000, 0.000], [0.500, 0.500, 0.500], [0.250, 0.250, 0.250], [0.250, 0.250, 0.750], [0.250, 0.750, 0.250], [0.250, 0.750, 0.750], [0.750, 0.250, 0.250], [0.750, 0.250, 0.750], [0.750, 0.750, 0.250], [0.750, 0.750, 0.750]], "space_group": "Fm-3m, No. 225", "formation_enthalpy_0k_mev_per_atom": -223}

# 3
{"formula": "ScIr3", "functional": "meta-GGA SCAN", "state": "single point on PBEsol structure", "cell": [[2.794, 0.000, 0.000], [0.000, 8.829, 0.000], [0.000, 0.000, 4.797]], "species": ["Sc", "Sc", "Ir", "Ir", "Ir", "Ir", "Ir", "Ir"], "frac_coords": [[0.000, 0.000, 0.000], [0.500, 0.500, 0.500], [0.000, 0.245, 0.325], [0.000, 0.500, 0.006], [0.000, 0.755, 0.325], [0.500, 0.000, 0.506], [0.500, 0.255, 0.825], [0.500, 0.745, 0.825]], "space_group": "Imm2, No. 44", "formation_enthalpy_0k_mev_per_atom": -617}

Question: Which formula does entry 3 have?
Answer: ScIr3